1.
Density functional theory data (SCAN) for CdSbMo2 at its PBEsol-relaxed geometry.

Cell: 3.207 4.900 5.214 Å, 109.13 107.91 90.00°
Fractional positions:
1 Mo 0.973 0.010 0.946
2 Sb 0.514 0.540 0.028
3 Mo 0.279 0.744 0.558
4 Cd 0.734 0.206 0.468

Summary:
Density of states at the Fermi level in states/eV/atom: 0.572
Volume in Å³/atom: 18.299
Formation energy from raw total energies in eV/atom: 0.421
SG: No. 8
Uncorrected energy in eV per atom: -33.94

2.
Density functional theory data (SCAN) for KCu2SnOs at its PBEsol-relaxed geometry.

Cell: 4.385 4.385 5.387 Å, 90.00 90.00 90.00°
Each line ends with the local moment (μB).
Fractional positions:
1 Os 0.500 0.500 0.500  1.61
2 Cu 0.500 0.000 0.000  0.00
3 Sn 0.000 0.000 0.500  0.00
4 K 0.000 0.000 0.000  -0.01
5 Cu 0.000 0.500 0.000  0.00

Summary:
Formation energy from the elements in eV per atom: 2.524
Density of states at the Fermi level in states/eV/atom: 0.493
Volume in Å³/atom: 20.720
SG: No. 123
Uncorrected energy in eV per atom: -26.78

Look up the uncorrected energy of the first one.
-33.94 eV per atom

Which formula does entry 2 have?
KCu2SnOs